# 1
The following is a PBE-GGA calculation of a geometry-optimized Al2FeSi structure, from Alexandria via LeMat-Bulk.

Properties
The calculation puts the uncorrected formation energy at -35.7 meV per atom. The total magnetization is 1.0 μB per cell.

```
4
Lattice="2.726 0.000 0.000 0.000 2.726 0.000 0.000 0.000 7.380" Properties=species:S:1:pos:R:3 pbc="T T T"
Al 0.000 0.000 1.596
Al 0.000 0.000 5.784
Fe 1.363 1.363 0.000
Si 1.363 1.363 3.690
```

# 2
The following is a PBE-GGA calculation of a geometry-optimized AlFeSi structure, from Alexandria via LeMat-Bulk.

Properties
The calculation puts the uncorrected formation energy at -301.6 meV per atom. The total magnetization is 0.0 μB per cell.

```
6
Lattice="3.963 0.000 0.000 0.000 3.963 0.000 0.000 0.000 5.301" Properties=species:S:1:pos:R:3 pbc="T T T"
Al 0.000 1.982 0.000
Al 1.982 0.000 2.651
Fe 0.000 0.000 1.325
Fe 0.000 0.000 3.976
Si 0.000 1.982 2.651
Si 1.982 0.000 0.000
```